This record from Alexandria via LeMat-Bulk describes a geometry-optimized Ce2AgPd structure. The functional is GGA-PBE.

Computed properties:
Polymorph energy (0 for the lowest one)   0.0000 eV per atom
Crystal system   tetragonal

Cell: 3.7723 3.7723 6.7334 Å, 90.00 90.00 90.00°
With the nearest neighbours (Å) after each atom.
Space group P4/mmm (No. 123)
Asymmetric unit:
Ce1 0.0000 0.0000 0.2185 (multiplicity 2)  1 Ce 2.94, 4 Pd 3.05, 4 Ag 3.27
Ag1 0.5000 0.5000 0.5000 (multiplicity 1)  8 Ce 3.27, 2 Pd 3.37
Pd1 0.5000 0.5000 0.0000 (multiplicity 1)  8 Ce 3.05, 2 Ag 3.37

---

This record from Alexandria via LeMat-Bulk describes a geometry-optimized CeAg5Pd6 structure. The functional is GGA-PBE.

Computed properties:
Crystal system   orthorhombic

Cell: 4.2779 7.7504 12.5231 Å, 90.00 90.00 90.00°
With the nearest neighbours (Å) after each atom.
Space group Immm (No. 71)
Asymmetric unit:
Ce1 0.0000 0.0000 0.0000 (multiplicity 2)  8 Pd 2.79-2.87, 4 Ag 3.09
Ag1 0.0000 0.0000 0.3359 (multiplicity 4)  8 Pd 2.85-2.92, 4 Ag 2.91-2.97
Ag2 0.0000 0.5000 0.0000 (multiplicity 2)  8 Pd 2.85-2.91, 4 Ag 2.97
Ag3 0.0000 0.5000 0.3221 (multiplicity 4)  8 Pd 2.80-2.93, 2 Ag 2.91, 2 Ce 3.09
Pd1 0.0000 0.2442 0.1638 (multiplicity 8)  1 Ce 2.79, 7 Ag 2.80-2.92, 4 Pd 2.96-3.04
Pd2 0.0000 0.2539 0.5000 (multiplicity 4)  6 Ag 2.85-2.93, 2 Ce 2.87, 4 Pd 2.96

---

This record from Alexandria via LeMat-Bulk describes a geometry-optimized Ce2Ag2Pd15 structure. The functional is GGA-PBE.

Computed properties:
Crystal system   trigonal

Cell: 9.1622 9.1622 13.7804 Å, 90.00 90.00 120.00°
With the nearest neighbours (Å) after each atom.
Space group R-3m (No. 166, hexagonal axes)
Asymmetric unit:
Ce1 0.0000 0.0000 0.1574 (multiplicity 6)  12 Pd 3.14-3.47, 1 Ag 3.37
Ag1 0.0000 0.0000 0.4022 (multiplicity 6)  1 Ag 2.70, 6 Pd 2.81-2.89
Pd1 0.0000 0.3153 0.5000 (multiplicity 18)  8 Pd 2.72-2.89
Pd2 0.0000 0.5000 0.0000 (multiplicity 9)  8 Pd 2.67-2.72, 2 Ag 2.81
Pd3 0.0054 0.5027 0.6576 (multiplicity 18)  8 Pd 2.61-2.83, 1 Ag 2.89

---

This record from Alexandria via LeMat-Bulk describes a geometry-optimized CeAg3Pd6 structure. The functional is GGA-PBE.

Computed properties:
Crystal system   monoclinic

Cell: 21.2485 5.7409 2.9210 Å, 90.00 91.85 90.00°
With the nearest neighbours (Å) after each atom.
Space group C2/m (No. 12)
Asymmetric unit:
Ce1 0.0000 0.0000 0.0000 (multiplicity 2)  4 Pd 2.65, 2 Ce 2.92
Ag1 0.0000 0.5000 0.5000 (multiplicity 2)  4 Pd 2.74, 2 Ag 2.92
Ag2 0.1970 0.0000 0.7353 (multiplicity 4)  8 Pd 2.78-2.89, 2 Ag 2.92
Pd1 0.1012 0.2512 0.2119 (multiplicity 8)  1 Ce 2.65, 3 Ag 2.74-2.89, 6 Pd 2.80-2.92
Pd2 0.1917 0.5000 0.7380 (multiplicity 4)  4 Ag 2.78-2.87, 6 Pd 2.80-2.92

---

This record from Alexandria via LeMat-Bulk describes a geometry-optimized CeAgPd3 structure. The functional is GGA-PBE.

Computed properties:
Crystal system   trigonal

Cell: 5.5055 5.5055 13.6832 Å, 90.00 90.00 120.00°
With the nearest neighbours (Å) after each atom.
Space group R-3m (No. 166, hexagonal axes)
Asymmetric unit:
Ce1 0.0000 0.0000 0.0000 (multiplicity 3)  6 Pd 2.78
Ag1 0.0000 0.0000 0.5000 (multiplicity 3)  6 Pd 2.75
Pd1 0.0000 0.5000 0.5000 (multiplicity 9)  4 Pd 2.75, 2 Ag 2.75, 2 Ce 2.78

---

This record from Alexandria via LeMat-Bulk describes a geometry-optimized CeAg2Pd8 structure. The functional is GGA-PBE.

Computed properties:
Crystal system   orthorhombic

Cell: 4.0144 8.1048 12.0161 Å, 90.00 90.00 90.00°
With the nearest neighbours (Å) after each atom.
Space group Immm (No. 71)
Asymmetric unit:
Ce1 0.0000 0.0000 0.0000 (multiplicity 2)  12 Pd 2.85-2.88
Ag1 0.0000 0.0000 0.3403 (multiplicity 4)  10 Pd 2.77-2.90
Pd1 0.0000 0.2471 0.5000 (multiplicity 4)  2 Ag 2.77, 6 Pd 2.84-2.91, 2 Ce 2.87
Pd2 0.0000 0.2488 0.1674 (multiplicity 8)  7 Pd 2.81-2.85, 1 Ce 2.85, 3 Ag 2.86-2.90
Pd3 0.0000 0.5000 0.3283 (multiplicity 4)  8 Pd 2.81-2.91, 2 Ag 2.85, 2 Ce 2.88

---

This record from Alexandria via LeMat-Bulk describes a geometry-optimized CeAgPd2 structure. The functional is GGA-PBE.

Computed properties:
Polymorph energy (0 for the lowest one)   0.0347 eV per atom
Crystal system   tetragonal

Cell: 3.5980 3.5980 6.0319 Å, 90.00 90.00 90.00°
With the nearest neighbours (Å) after each atom.
Space group P4/mmm (No. 123)
Asymmetric unit:
Ce1 0.0000 0.0000 0.0000 (multiplicity 1)  8 Pd 2.99, 2 Ag 3.02
Ag1 0.0000 0.0000 0.5000 (multiplicity 1)  8 Pd 2.92, 2 Ce 3.02
Pd1 0.5000 0.5000 0.2613 (multiplicity 2)  2 Pd 2.88-3.15, 4 Ag 2.92, 4 Ce 2.99

---

This record from Alexandria via LeMat-Bulk describes a geometry-optimized Ce2AgPd2 structure. The functional is GGA-PBE.

Computed properties:
Crystal system   tetragonal

Cell: 7.7321 7.7321 3.8187 Å, 90.00 90.00 90.00°
With the nearest neighbours (Å) after each atom.
Space group P4/mbm (No. 127)
Asymmetric unit:
Ce1 0.1725 0.3275 0.0000 (multiplicity 4)  6 Pd 2.88-3.04
Ag1 0.0000 0.0000 0.5000 (multiplicity 2)  4 Pd 3.03
Pd1 0.1308 0.6308 0.5000 (multiplicity 4)  1 Pd 2.86, 6 Ce 2.88-3.04, 2 Ag 3.03

---

This record from Alexandria via LeMat-Bulk describes a geometry-optimized CeAgPd2 structure. The functional is GGA-PBE.

Computed properties:
Polymorph energy (0 for the lowest one)   0.0081 eV per atom
Crystal system   tetragonal

Cell: 4.4804 4.4804 3.8633 Å, 90.00 90.00 90.00°
With the nearest neighbours (Å) after each atom.
Space group P4/mmm (No. 123)
Asymmetric unit:
Ce1 0.0000 0.0000 0.0000 (multiplicity 1)  8 Pd 2.96, 4 Ag 3.17
Ag1 0.5000 0.5000 0.0000 (multiplicity 1)  8 Pd 2.96, 4 Ce 3.17
Pd1 0.0000 0.5000 0.5000 (multiplicity 2)  4 Ce 2.96, 4 Ag 2.96, 4 Pd 3.17

---

This record from Alexandria via LeMat-Bulk describes a geometry-optimized CeAgPd2 structure. The functional is GGA-PBE.

Computed properties:
Polymorph energy (0 for the lowest one)   0.0000 eV per atom
Crystal system   cubic

Cell: 6.8029 6.8029 6.8029 Å, 90.00 90.00 90.00°
With the nearest neighbours (Å) after each atom.
Space group Fm-3m (No. 225)
Asymmetric unit:
Ce1 0.0000 0.0000 0.0000 (multiplicity 4)  8 Pd 2.95
Ag1 0.0000 0.0000 0.5000 (multiplicity 4)  8 Pd 2.95
Pd1 0.2500 0.2500 0.2500 (multiplicity 8)  4 Ce 2.95, 4 Ag 2.95

---

This record from Alexandria via LeMat-Bulk describes a geometry-optimized Ce2AgPd structure. The functional is GGA-PBE.

Computed properties:
Polymorph energy (0 for the lowest one)   0.1270 eV per atom
Crystal system   trigonal

Cell: 4.0119 4.0119 23.4448 Å, 90.00 90.00 120.00°
With the nearest neighbours (Å) after each atom.
Space group R-3m (No. 166, hexagonal axes)
Asymmetric unit:
Ce1 0.0000 0.0000 0.2421 (multiplicity 6)  3 Pd 2.91, 3 Ag 3.15
Ag1 0.0000 0.0000 0.0000 (multiplicity 3)  6 Ce 3.15
Pd1 0.0000 0.0000 0.5000 (multiplicity 3)  6 Ce 2.91

---

This record from Alexandria via LeMat-Bulk describes a geometry-optimized Ce2AgPd structure. The functional is GGA-PBE.

Computed properties:
Polymorph energy (0 for the lowest one)   0.0326 eV per atom
Crystal system   cubic

Cell: 7.2872 7.2872 7.2872 Å, 90.00 90.00 90.00°
With the nearest neighbours (Å) after each atom.
Space group Fm-3m (No. 225)
Asymmetric unit:
Ce1 0.2500 0.2500 0.2500 (multiplicity 8)  4 Pd 3.16, 4 Ag 3.16
Ag1 0.0000 0.0000 0.0000 (multiplicity 4)  8 Ce 3.16
Pd1 0.0000 0.0000 0.5000 (multiplicity 4)  8 Ce 3.16

---

This record from Alexandria via LeMat-Bulk describes a geometry-optimized CeAgPdPt structure. The functional is GGA-PBE.

Computed properties:
Crystal system   cubic

Cell: 6.8031 6.8031 6.8031 Å, 90.00 90.00 90.00°
With the nearest neighbours (Å) after each atom.
Space group F-43m (No. 216)
Asymmetric unit:
Ce1 0.0000 0.0000 0.0000 (multiplicity 4)  4 Pd 2.95, 4 Pt 2.95
Ag1 0.0000 0.0000 0.5000 (multiplicity 4)  4 Pd 2.95, 4 Pt 2.95
Pd1 0.2500 0.2500 0.2500 (multiplicity 4)  4 Ce 2.95, 4 Ag 2.95
Pt1 0.2500 0.2500 0.7500 (multiplicity 4)  4 Ce 2.95, 4 Ag 2.95

---

| no. | E_form (eV/atom) | electronic total energy (eV/atom) |
| --- | --- | --- |
| 1 | -0.344 | -5.3219 |
| 2 | -0.265 | -4.5437 |
| 3 | -0.308 | -5.3321 |
| 4 | -0.095 | -4.6599 |
| 5 | -0.203 | -5.0753 |
| 6 | -0.238 | -5.0727 |
| 7 | -0.448 | -5.2410 |
| 8 | -0.573 | -5.5942 |
| 9 | -0.475 | -5.2676 |
| 10 | -0.483 | -5.2757 |
| 11 | -0.217 | -5.1949 |
| 12 | -0.311 | -5.2893 |
| 13 | -0.583 | -5.5872 |